Model A:
Hf2TaPd | PBE-GGA | optimized geometry

Summary:
Crystal system = tetragonal
DOS at the Fermi energy = 4.4 states/eV/cell
Magnetization = 0.000 μB per atom

a = 4.8422 Å, b = 4.8422 Å, c = 3.2498 Å
α = 90.00°, β = 90.00°, γ = 90.00°
Last column: nearest neighbours and their distance in Å.
Space group P4/mmm (No. 123)
Asymmetric unit:
Hf  0.0000  0.5000  0.0000  4 Pd 2.92, 4 Ta 2.92, 2 Hf 3.25
Ta  0.0000  0.0000  0.5000  8 Hf 2.92, 2 Ta 3.25
Pd  0.5000  0.5000  0.5000  8 Hf 2.92, 2 Pd 3.25

***

Model B:
Hf2TaPd | PBE-GGA | optimized geometry

Summary:
Crystal system = cubic
DOS at the Fermi energy = 19.9 states/eV/cell
Magnetization = 0.000 μB per atom

a = 6.7032 Å, b = 6.7032 Å, c = 6.7032 Å
α = 90.00°, β = 90.00°, γ = 90.00°
Last column: nearest neighbours and their distance in Å.
Space group Fm-3m (No. 225)
Asymmetric unit:
Hf  0.2500  0.2500  0.2500  4 Pd 2.90, 4 Ta 2.90
Ta  0.0000  0.0000  0.0000  8 Hf 2.90
Pd  0.0000  0.0000  0.5000  8 Hf 2.90

***

Model C:
Hf2TaPd | PBE-GGA | optimized geometry

Summary:
Crystal system = tetragonal
DOS at the Fermi energy = 2.3 states/eV/cell
Magnetization = 0.000 μB per atom

a = 3.2761 Å, b = 3.2761 Å, c = 7.1334 Å
α = 90.00°, β = 90.00°, γ = 90.00°
Last column: nearest neighbours and their distance in Å.
Space group P4/mmm (No. 123)
Asymmetric unit:
Hf  0.0000  0.0000  0.2452  4 Pd 2.90, 4 Ta 2.94
Ta  0.5000  0.5000  0.5000  8 Hf 2.94, 4 Ta 3.28
Pd  0.5000  0.5000  0.0000  8 Hf 2.90

***

Model D:
Hf2TaPd | PBE-GGA | optimized geometry

Summary:
Crystal system = tetragonal
DOS at the Fermi energy = 17.7 states/eV/cell
Magnetization = 0.000 μB per atom

a = 4.0661 Å, b = 4.0661 Å, c = 19.7731 Å
α = 90.00°, β = 90.00°, γ = 90.00°
Last column: nearest neighbours and their distance in Å.
Space group I-42d (No. 122)
Asymmetric unit:
Hf  0.2483  0.2500  0.1250  2 Ta 2.86, 2 Pd 2.86, 4 Hf 2.87-2.88
Ta  0.0000  0.0000  0.0000  4 Hf 2.86, 4 Pd 2.88
Pd  0.0000  0.0000  0.5000  4 Hf 2.86, 4 Ta 2.88

***

It is model C that is most stable; the runner-up trails by 118 meV per atom.

***

Model A:
HfTaPd | PBE-GGA | optimized geometry

Summary:
Crystal system = hexagonal
DOS at the Fermi energy = 3.4 states/eV/cell
Magnetization = 0.000 μB per atom

a = 4.7115 Å, b = 4.7115 Å, c = 2.8965 Å
α = 90.00°, β = 90.00°, γ = 120.00°
Last column: nearest neighbours and their distance in Å.
Space group P-6m2 (No. 187)
Asymmetric unit:
Hf  0.0000  0.0000  0.0000  2 Hf 2.90, 6 Ta 3.08, 6 Pd 3.08
Ta  0.3333  0.6667  0.5000  3 Pd 2.72, 2 Ta 2.90
Pd  0.6667  0.3333  0.5000  3 Ta 2.72, 2 Pd 2.90

***

Model B:
HfTaPd | PBE-GGA | optimized geometry

Summary:
Crystal system = trigonal
DOS at the Fermi energy = 9.0 states/eV/cell
Magnetization = 0.000 μB per atom

a = 3.0783 Å, b = 3.0783 Å, c = 20.4075 Å
α = 90.00°, β = 90.00°, γ = 120.00°
Last column: nearest neighbours and their distance in Å.
Space group R3m (No. 160, hexagonal axes)
Asymmetric unit:
Hf  0.0000  0.0000  0.0000  3 Pd 2.84, 3 Ta 2.97, 6 Hf 3.08
Ta  0.0000  0.0000  0.2169  3 Pd 2.84, 3 Hf 2.97, 6 Ta 3.08
Pd  0.0000  0.0000  0.7749  3 Hf 2.84, 3 Ta 2.84, 6 Pd 3.08

***

Model C:
HfTaPd | PBE-GGA | optimized geometry

Summary:
Crystal system = tetragonal
DOS at the Fermi energy = 3.0 states/eV/cell
Magnetization = 0.000 μB per atom

a = 3.1124 Å, b = 3.1124 Å, c = 11.4584 Å
α = 90.00°, β = 90.00°, γ = 90.00°
Last column: nearest neighbours and their distance in Å.
Space group I4mm (No. 107)
Asymmetric unit:
Hf  0.0000  0.0000  0.0000  4 Pd 2.95, 4 Ta 2.99, 4 Hf 3.11
Ta  0.0000  0.0000  0.6772  4 Pd 2.80, 4 Hf 2.99, 4 Ta 3.11
Pd  0.0000  0.0000  0.3281  4 Ta 2.80, 4 Hf 2.95, 4 Pd 3.11

***

It is model C that is most stable; the runner-up trails by 168 meV per atom.

***

Model A:
Hf2Tc2Pd | PBE-GGA | optimized geometry

Summary:
Crystal system = tetragonal
DOS at the Fermi energy = 8.5 states/eV/cell
Magnetization = 0.000 μB per atom

a = 6.8938 Å, b = 6.8938 Å, c = 3.8156 Å
α = 90.00°, β = 90.00°, γ = 90.00°
Last column: nearest neighbours and their distance in Å.
Space group P4/mbm (No. 127)
Asymmetric unit:
Hf  0.1799  0.3201  0.0000  6 Tc 2.71-2.85
Tc  0.1228  0.6228  0.5000  1 Tc 2.39
Pd  0.0000  0.0000  0.5000  4 Tc 2.73

***

Model B:
Hf2Tc2Pd | PBE-GGA | optimized geometry

Summary:
Crystal system = tetragonal
DOS at the Fermi energy = 8.2 states/eV/cell
Magnetization = 0.000 μB per atom

a = 7.3844 Å, b = 7.3844 Å, c = 3.2960 Å
α = 90.00°, β = 90.00°, γ = 90.00°
Last column: nearest neighbours and their distance in Å.
Space group P4/mbm (No. 127)
Asymmetric unit:
Hf  0.1486  0.3514  0.0000  6 Tc 2.66-2.76, 2 Pd 2.82
Tc  0.1514  0.6514  0.5000  6 Hf 2.66-2.76
Pd  0.0000  0.0000  0.0000  4 Hf 2.82

***

Model C:
Hf2Tc2Pd | PBE-GGA | optimized geometry

Summary:
Crystal system = tetragonal
DOS at the Fermi energy = 8.1 states/eV/cell
Magnetization = 0.000 μB per atom

a = 3.4793 Å, b = 3.4793 Å, c = 15.7353 Å
α = 90.00°, β = 90.00°, γ = 90.00°
Last column: nearest neighbours and their distance in Å.
Space group I4/mmm (No. 139)
Asymmetric unit:
Hf  0.0000  0.0000  0.1015  4 Tc 2.91, 4 Pd 2.93, 1 Hf 3.20
Tc  0.0000  0.5000  0.2500  4 Tc 2.46
Pd  0.0000  0.0000  0.5000  8 Hf 2.93

***

It is model A that is most stable; the runner-up trails by 201 meV per atom.

***

Model A:
HfTc3Pd | PBE-GGA | optimized geometry

Summary:
Crystal system = cubic
DOS at the Fermi energy = 6.2 states/eV/cell
Magnetization = 0.000 μB per atom

a = 4.6772 Å, b = 4.6772 Å, c = 4.6772 Å
α = 90.00°, β = 90.00°, γ = 90.00°
Last column: nearest neighbours and their distance in Å.
Space group Pm-3m (No. 221)
Asymmetric unit:
Hf  0.0000  0.0000  0.0000  6 Tc 2.34
Tc  0.0000  0.0000  0.5000  2 Hf 2.34
Pd  0.5000  0.5000  0.5000  12 Tc 3.31

***

Model B:
HfTc3Pd | PBE-GGA | optimized geometry

Summary:
Crystal system = cubic
DOS at the Fermi energy = 10.5 states/eV/cell
Magnetization = 0.291 μB per atom

a = 4.6635 Å, b = 4.6635 Å, c = 4.6635 Å
α = 90.00°, β = 90.00°, γ = 90.00°
Last column: nearest neighbours and their distance in Å.
Space group Pm-3m (No. 221)
Asymmetric unit:
Hf  0.0000  0.0000  0.0000  12 Tc 3.30
Tc  0.0000  0.5000  0.5000  2 Pd 2.33
Pd  0.5000  0.5000  0.5000  6 Tc 2.33

***

It is model B that is most stable; the runner-up trails by 198 meV per atom.

***

Model A:
HfTePd | PBE-GGA | optimized geometry

Summary:
Crystal system = tetragonal
DOS at the Fermi energy = 1.7 states/eV/cell
Magnetization = 0.000 μB per atom

a = 3.9541 Å, b = 3.9541 Å, c = 8.2083 Å
α = 90.00°, β = 90.00°, γ = 90.00°
Last column: nearest neighbours and their distance in Å.
Space group P4/nmm (No. 129, origin choice 2)
Asymmetric unit:
Hf  0.2500  0.2500  0.2368  4 Pd 2.77, 4 Te 3.02
Te  0.2500  0.2500  0.6249  5 Hf 3.02-3.19
Pd  0.2500  0.7500  0.0000  4 Hf 2.77, 4 Pd 2.80

***

Model B:
HfTePd | PBE-GGA | optimized geometry

Summary:
Crystal system = monoclinic
DOS at the Fermi energy = 5.6 states/eV/cell
Magnetization = 0.000 μB per atom

a = 8.5329 Å, b = 3.7046 Å, c = 10.5992 Å
α = 90.00°, β = 108.86°, γ = 90.00°
Last column: nearest neighbours and their distance in Å.
Space group C2/m (No. 12)
Asymmetric unit:
Hf  0.0036  0.0000  0.1595  5 Pd 2.76-2.85, 3 Te 2.98-3.05
Te  0.2345  0.0000  0.6788  1 Pd 2.78, 3 Hf 2.98-3.05
Pd  0.1633  0.5000  0.0446  3 Pd 2.64-2.72, 5 Hf 2.76-2.85, 1 Te 2.78

***

Model C:
HfTePd | PBE-GGA | optimized geometry

Summary:
Crystal system = tetragonal
DOS at the Fermi energy = 2.8 states/eV/cell
Magnetization = 0.000 μB per atom

a = 3.6734 Å, b = 3.6734 Å, c = 10.0987 Å
α = 90.00°, β = 90.00°, γ = 90.00°
Last column: nearest neighbours and their distance in Å.
Space group P4/nmm (No. 129, origin choice 2)
Asymmetric unit:
Hf  0.2500  0.2500  0.2015  1 Pd 2.64, 4 Te 2.96
Te  0.2500  0.2500  0.6577  1 Pd 2.85, 4 Hf 2.96
Pd  0.2500  0.2500  0.9396  1 Hf 2.64, 1 Te 2.85, 4 Pd 2.87

***

Model D:
HfTePd | PBE-GGA | optimized geometry

Summary:
Crystal system = monoclinic
DOS at the Fermi energy = 7.2 states/eV/cell
Magnetization = 0.000 μB per atom

a = 10.4345 Å, b = 3.6844 Å, c = 6.8199 Å
α = 90.00°, β = 109.88°, γ = 90.00°
Last column: nearest neighbours and their distance in Å.
Space group C2/m (No. 12)
Asymmetric unit:
Hf  0.0342  0.0000  0.2670  4 Pd 2.83-2.93, 5 Te 2.93-3.07
Te  0.1701  0.5000  0.6397  1 Pd 2.74, 3 Hf 2.93-3.04
Pd  0.1357  0.5000  0.0204  1 Te 2.74, 1 Pd 2.75, 4 Hf 2.83-2.93

***

It is model C that is most stable; the runner-up trails by 70 meV per atom.

***

Model A:
HfTePd | PBE-GGA | optimized geometry

Summary:
Crystal system = triclinic
DOS at the Fermi energy = 3.9 states/eV/cell
Magnetization = 0.000 μB per atom

a = 3.7095 Å, b = 5.7097 Å, c = 6.8157 Å
α = 114.62°, β = 96.40°, γ = 90.42°
Last column: nearest neighbours and their distance in Å.
Space group P-1 (No. 2)
Asymmetric unit:
Hf  0.0716  0.1363  0.2754  4 Pd 2.81-2.88, 4 Te 2.92-3.03
Te  0.3314  0.6740  0.3489  2 Pd 2.78, 4 Hf 2.92-3.03
Pd  0.4980  0.7670  0.9994  1 Pd 2.66, 2 Te 2.78, 4 Hf 2.81-2.88

***

Model B:
HfTePd | PBE-GGA | optimized geometry

Summary:
Crystal system = monoclinic
DOS at the Fermi energy = 3.8 states/eV/cell
Magnetization = 0.000 μB per atom

a = 6.5151 Å, b = 5.3252 Å, c = 8.4304 Å
α = 90.00°, β = 112.32°, γ = 90.00°
Last column: nearest neighbours and their distance in Å.
Space group C2/m (No. 12)
Asymmetric unit:
Hf  0.1521  0.0000  0.2185  2 Pd 2.56-2.63
Te  0.1616  0.5000  0.3627  1 Pd 2.86, 3 Hf 2.92-3.07
Pd  0.2320  0.5000  0.0483  2 Hf 2.56-2.63, 3 Pd 2.82, 1 Te 2.86

***

It is model B that is most stable; the runner-up trails by 34 meV per atom.

***

Model A:
HfTe3Pd | PBE-GGA | optimized geometry

Summary:
Crystal system = orthorhombic
DOS at the Fermi energy = 15.7 states/eV/cell
Magnetization = 0.000 μB per atom

a = 3.8478 Å, b = 24.2793 Å, c = 6.6956 Å
α = 90.00°, β = 90.00°, γ = 90.00°
Last column: nearest neighbours and their distance in Å.
Space group Ama2 (No. 40)
Asymmetric unit:
Hf  0.2500  0.1676  0.0000  6 Te 2.84-3.05, 2 Pd 3.03
Te  0.2500  0.0630  0.1970  2 Pd 2.64, 1 Hf 2.86
Te  0.2500  0.2651  0.7137  1 Pd 2.67, 2 Hf 2.90
Te  0.2500  0.3729  0.2247  1 Pd 2.70, 2 Hf 2.84
Pd  0.2500  0.3709  0.8212  4 Te 2.64-2.70

***

Model B:
HfTe3Pd | PBE-GGA | optimized geometry

Summary:
Crystal system = cubic
DOS at the Fermi energy = 4.9 states/eV/cell
Magnetization = 0.000 μB per atom

a = 5.1992 Å, b = 5.1992 Å, c = 5.1992 Å
α = 90.00°, β = 90.00°, γ = 90.00°
Last column: nearest neighbours and their distance in Å.
Space group Pm-3m (No. 221)
Asymmetric unit:
Hf  0.0000  0.0000  0.0000  12 Te 3.68
Te  0.0000  0.5000  0.5000  2 Pd 2.60
Pd  0.5000  0.5000  0.5000  6 Te 2.60

***

It is model A that is most stable; the runner-up trails by 918 meV per atom.

***

Model A:
HfTe4Pd | PBE-GGA | optimized geometry

Summary:
Crystal system = monoclinic
DOS at the Fermi energy = 3.0 states/eV/cell
Magnetization = 0.000 μB per atom

a = 6.4643 Å, b = 4.0335 Å, c = 6.7345 Å
α = 90.00°, β = 90.55°, γ = 90.00°
Last column: nearest neighbours and their distance in Å.
Space group P2/m (No. 10)
Asymmetric unit:
Hf  0.0000  0.0000  0.0000  6 Te 2.86-2.90
Te  0.2426  0.0000  0.6476  2 Pd 2.74, 1 Hf 2.86
Te  0.2706  0.5000  0.1704  1 Pd 2.84, 2 Hf 2.90
Pd  0.0000  0.5000  0.5000  6 Te 2.74-2.84

***

Model B:
HfTe4Pd | PBE-GGA | optimized geometry

Summary:
Crystal system = monoclinic
DOS at the Fermi energy = 7.4 states/eV/cell
Magnetization = 0.000 μB per atom

a = 6.8880 Å, b = 6.7767 Å, c = 7.0253 Å
α = 90.00°, β = 92.54°, γ = 90.00°
Last column: nearest neighbours and their distance in Å.
Space group P2_1/c (No. 14)
Asymmetric unit:
Hf  0.0000  0.0000  0.0000  6 Te 2.85-2.91
Te  0.1365  0.1296  0.3690  1 Pd 2.77, 2 Hf 2.85-2.86
Te  0.3762  0.6284  0.3732  2 Pd 2.79-2.93, 1 Hf 2.91, 1 Te 2.97
Pd  0.5000  0.0000  0.5000  6 Te 2.77-2.93

***

It is model A that is most stable; the runner-up trails by 91 meV per atom.

***

Model A:
HfTh2Pd | PBE-GGA | optimized geometry

Summary:
Crystal system = trigonal
DOS at the Fermi energy = 13.1 states/eV/cell
Magnetization = 0.000 μB per atom

a = 3.3115 Å, b = 3.3115 Å, c = 32.7327 Å
α = 90.00°, β = 90.00°, γ = 120.00°
Last column: nearest neighbours and their distance in Å.
Space group R-3m (No. 166, hexagonal axes)
Asymmetric unit:
Hf  0.0000  0.0000  0.0000  2 Th 3.05, 6 Hf 3.31
Th  0.0000  0.0000  0.0931  1 Hf 3.05, 3 Pd 3.08, 6 Th 3.31
Pd  0.0000  0.0000  0.5000  6 Th 3.08, 6 Pd 3.31

***

Model B:
HfTh2Pd | PBE-GGA | optimized geometry

Summary:
Crystal system = tetragonal
DOS at the Fermi energy = 4.6 states/eV/cell
Magnetization = 0.000 μB per atom

a = 3.4824 Å, b = 3.4824 Å, c = 8.6205 Å
α = 90.00°, β = 90.00°, γ = 90.00°
Last column: nearest neighbours and their distance in Å.
Space group P4/mmm (No. 123)
Asymmetric unit:
Hf  0.0000  0.0000  0.0000  8 Th 3.41, 4 Hf 3.48
Th  0.5000  0.5000  0.2730  4 Pd 3.15, 4 Hf 3.41, 4 Th 3.48
Pd  0.0000  0.0000  0.5000  8 Th 3.15, 4 Pd 3.48

***

It is model B that is most stable; the runner-up trails by 390 meV per atom.